## a
DFT (PBE-GGA) results for a relaxed YPaRh crystal.

Calculated values
The volume comes out at 70.4 Å³ per cell. The calculation puts the density of states at the Fermi level at 4.3 states/eV/cell.

The structure in extended XYZ format:
```
3
Lattice="-0.406 -2.721 -2.270 3.363 0.425 -1.111 0.256 -2.370 5.597" Properties=species:S:1:pos:R:3 pbc="T T T"
Y 0.016 -0.033 0.036
Pa 1.048 -2.126 2.361
Rh 2.148 -2.508 -0.181
```

## b
DFT (PBE-GGA) results for a relaxed YPaRh crystal.

Calculated values
The volume comes out at 141.2 Å³ per cell. The calculation puts the density of states at the Fermi level at 6.9 states/eV/cell.

The structure in extended XYZ format:
```
6
Lattice="-1.957 4.082 3.117 -4.098 -3.442 -1.253 4.000 -2.961 3.138" Properties=species:S:1:pos:R:3 pbc="T T T"
Rh -1.948 -4.395 0.622
Rh -3.413 -1.033 0.145
Pa -1.349 -2.289 1.845
Pa -2.813 1.072 1.368
Y -1.986 3.981 3.058
Y -0.521 0.620 3.535
```

Which of them is the most stable? Correct choice: a.